Record 1
Material: K2MgTl
Method: DFT, PBE
State: relaxed

Energy of formation: 68 meV/atom
Uncorrected energy: -1.471 eV per atom
Density of states at the Fermi level: 17.70 states/eV per cell
Size of the total moment: 0.001 μB/f.u.

a b c (Å): 8.3476 8.3476 8.3476
angles (deg): 90.00 90.00 90.00
Closest atoms and distances in Å follow each position.
Space group F-43m (No. 216)
Asymmetric unit:
K (0.0000, 0.0000, 0.0000) x4  4 Tl 3.61, 4 K 3.61
K (0.2500, 0.2500, 0.2500) x4  4 K 3.61, 4 Mg 3.61
Mg (0.0000, 0.0000, 0.5000) x4  4 K 3.61, 4 Tl 3.61
Tl (0.2500, 0.2500, 0.7500) x4  4 K 3.61, 4 Mg 3.61


Record 2
Material: KMgTl6
Method: DFT, PBE
State: relaxed

Energy of formation: 2 meV/atom
Uncorrected energy: -2.109 eV per atom
Density of states at the Fermi level: 2.67 states/eV per cell
Size of the total moment: 0.000 μB/f.u.
ΔE to the lowest computed polymorph: 31 meV per atom

a b c (Å): 5.3452 5.3452 9.5157
angles (deg): 90.00 90.00 90.00
Closest atoms and distances in Å follow each position.
Space group P4/mmm (No. 123)
Asymmetric unit:
K (0.0000, 0.0000, 0.0000) x1  16 Tl 4.07-4.12
Mg (0.0000, 0.0000, 0.5000) x1  8 Tl 3.13
Tl (0.0000, 0.5000, 0.3293) x4  2 Mg 3.13, 3 Tl 3.13-3.25
Tl (0.5000, 0.5000, 0.1582) x2  5 Tl 3.01-3.13


Record 3
Material: KMg2Tl
Method: DFT, PBE
State: relaxed

Energy of formation: 71 meV/atom
Uncorrected energy: -1.592 eV per atom
Density of states at the Fermi level: 2.85 states/eV per cell
Size of the total moment: 0.000 μB/f.u.
ΔE to the lowest computed polymorph: 34 meV per atom

a b c (Å): 10.2630 3.3468 7.5578
angles (deg): 90.00 96.33 90.00
Closest atoms and distances in Å follow each position.
Space group Cm (No. 8)
Asymmetric unit:
K (0.0000, 0.0000, 0.0000) x2  2 K 3.35, 3 Tl 3.59-3.70, 1 Mg 3.66
Mg (0.2306, 0.0000, 0.6640) x2  5 Mg 3.11-3.35, 2 Tl 3.21
Mg (0.4941, 0.0000, 0.4927) x2  5 Mg 3.11-3.35, 3 Tl 3.17
Tl (0.2556, 0.5000, 0.3062) x2  5 Mg 3.17-3.21, 2 Tl 3.35


Record 4
Material: KMg3Tl2
Method: DFT, PBE
State: relaxed

Energy of formation: -29 meV/atom
Uncorrected energy: -1.798 eV per atom
Density of states at the Fermi level: 11.71 states/eV per cell
Size of the total moment: 0.000 μB/f.u.

a b c (Å): 18.4766 4.8236 9.1189
angles (deg): 90.00 115.05 90.00
Closest atoms and distances in Å follow each position.
Space group C2/m (No. 12)
Asymmetric unit:
K (0.1517, 0.0000, 0.0655) x4  7 Tl 3.76-3.90, 7 Mg 4.01-4.18
Mg (0.0348, 0.0000, 0.3708) x4  3 Tl 2.94-3.04, 3 Mg 3.13-3.23
Mg (0.0864, 0.5000, 0.6563) x4  3 Tl 3.01-3.02, 4 Mg 3.11-3.26
Mg (0.1868, 0.5000, 0.4554) x4  4 Tl 3.00-3.15, 3 Mg 3.11-3.21
Tl (0.0241, 0.5000, 0.1784) x4  4 Mg 2.94-3.01, 1 Tl 2.99
Tl (0.1887, 0.0000, 0.6788) x4  6 Mg 3.02-3.15


Record 5
Material: K2MgTl12
Method: DFT, PBE
State: relaxed

Energy of formation: 1 meV/atom
Uncorrected energy: -2.145 eV per atom
Density of states at the Fermi level: 17.84 states/eV per cell
Size of the total moment: 0.000 μB/f.u.

a b c (Å): 7.2908 7.2908 19.2888
angles (deg): 90.00 90.00 90.00
Closest atoms and distances in Å follow each position.
Space group P4/nbm (No. 125, origin choice 2)
Asymmetric unit:
K (0.2500, 0.7500, 0.2489) x4  14 Tl 3.86-4.07
Mg (0.2500, 0.7500, 0.0000) x2  8 Tl 3.06-3.07
Tl (0.0008, 0.5008, 0.0858) x8  2 Mg 3.06-3.07, 3 Tl 3.18-3.31
Tl (0.0863, 0.5863, 0.5671) x8  4 Tl 3.14-3.38
Tl (0.2500, 0.2500, 0.1826) x4  5 Tl 3.10-3.18
Tl (0.2500, 0.2500, 0.3432) x4  5 Tl 3.10-3.23


Record 6
Material: KMg2Tl
Method: DFT, PBE
State: relaxed

Energy of formation: 90 meV/atom
Uncorrected energy: -1.573 eV per atom
Density of states at the Fermi level: 1.80 states/eV per cell
Size of the total moment: 0.000 μB/f.u.
ΔE to the lowest computed polymorph: 52 meV per atom

a b c (Å): 3.5033 5.2204 6.9817
angles (deg): 90.00 101.58 90.00
Closest atoms and distances in Å follow each position.
Space group P2/m (No. 10)
Asymmetric unit:
K (0.0000, 0.0000, 0.0000) x1  2 K 3.50, 2 Tl 3.58, 8 Mg 3.68-3.85
Mg (0.3268, 0.5000, 0.6970) x2  2 Tl 3.07, 2 Mg 3.21-3.22
Tl (0.5000, 0.0000, 0.5000) x1  4 Mg 3.07


Record 7
Material: KMg2Tl
Method: DFT, PBE
State: relaxed

Energy of formation: 129 meV/atom
Uncorrected energy: -1.534 eV per atom
Density of states at the Fermi level: 3.42 states/eV per cell
Size of the total moment: 0.000 μB/f.u.
ΔE to the lowest computed polymorph: 92 meV per atom

a b c (Å): 4.1540 5.6998 10.5427
angles (deg): 90.00 90.00 90.00
Closest atoms and distances in Å follow each position.
Space group Imm2 (No. 44)
Asymmetric unit:
K (0.0000, 0.0000, 0.0000) x2  4 Tl 3.53-3.74, 8 Mg 3.53-3.67
Mg (0.0000, 0.0000, 0.4864) x2  2 Tl 3.08, 2 Mg 3.22
Mg (0.0000, 0.5000, 0.2198) x2  2 Mg 3.22, 4 Tl 3.57
Tl (0.0000, 0.5000, 0.7705) x2  2 Mg 3.08


Record 8
Material: KMg2Tl3
Method: DFT, PBE
State: relaxed

Energy of formation: -54 meV/atom
Uncorrected energy: -1.951 eV per atom
Density of states at the Fermi level: 8.98 states/eV per cell
Size of the total moment: 0.000 μB/f.u.

a b c (Å): 12.0408 9.7558 6.3158
angles (deg): 90.00 90.00 90.00
Closest atoms and distances in Å follow each position.
Space group Cmcm (No. 63)
Asymmetric unit:
K (0.0000, 0.1540, 0.2500) x4  5 Tl 3.57-3.82
Mg (0.2201, 0.5000, 0.0000) x8  6 Tl 3.02-3.17, 2 Mg 3.16
Tl (0.0000, 0.4801, 0.7500) x4  4 Mg 3.09, 4 Tl 3.18-3.21
Tl (0.1694, 0.2254, 0.7500) x8  4 Mg 3.02-3.17, 1 Tl 3.21